Below is MnCu5Au4 after structural relaxation, with properties calculated at the GGA-PBE level.

Summary:
- V (Å³ per atom) = 14.82
- DFT formation energy (meV per atom) = -22
- E (eV/atom) = -4.30
- M_tot (μB per formula unit) = 4.28

a b c (Å): 14.106 3.989 5.481
angles (deg): 90.00 106.04 90.00
Space group C2/m (No. 12)
One atom of each set of equivalent atoms:
1 Mn 0.000 0.000 0.000 [2 per cell]
2 Cu 0.000 0.000 0.500 [2 per cell]
3 Cu 0.098 0.500 0.802 [4 per cell]
4 Cu 0.196 0.000 0.607 [4 per cell]
5 Au 0.097 0.500 0.317 [4 per cell]
6 Au 0.201 0.000 0.107 [4 per cell]